# 1
## FeReTe2 (PBE)

Data for a relaxed FeReTe2 crystal.

extended XYZ file:
```
4
Lattice="3.289 0.000 0.000 0.000 3.289 0.000 0.000 0.000 6.643" Properties=species:S:1:pos:R:3 pbc="T T T"
Fe 0.000 0.000 0.000
Re 0.000 0.000 3.321
Te 1.644 1.644 1.639
Te 1.644 1.644 5.004
```

Output
The density of states at the Fermi level comes out at 3.34 states/eV per cell. The calculation puts the uncorrected formation energy at 0.63 eV/atom. The calculation puts the offset from the most stable computed form at 479 meV/atom.



# 2
## LiMnMo2 (PBE)

Data for a relaxed LiMnMo2 crystal.

extended XYZ file:
```
4
Lattice="4.447 -1.297 0.000 4.447 1.297 0.000 -0.373 0.000 5.005" Properties=species:S:1:pos:R:3 pbc="T T T"
Li 0.000 0.000 0.000
Mn 1.964 0.000 3.812
Mo 4.346 0.000 2.542
Mo 6.586 0.000 1.229
```

Output
The density of states at the Fermi level comes out at 3.87 states/eV per cell. The calculation puts the offset from the most stable computed form at 105 meV/atom.



# 3
## Tm2TlIn9 (PBE)

Data for a relaxed Tm2TlIn9 crystal.

extended XYZ file:
```
12
Lattice="4.638 0.000 0.000 0.000 4.638 0.000 0.000 0.000 14.444" Properties=species:S:1:pos:R:3 pbc="T T T"
Tm 0.000 0.000 2.267
Tm 0.000 0.000 12.177
Tl 0.000 0.000 7.222
In 0.000 2.319 0.000
In 0.000 2.319 4.648
In 0.000 2.319 9.795
In 2.319 0.000 0.000
In 2.319 0.000 4.648
In 2.319 0.000 9.795
In 2.319 2.319 2.340
In 2.319 2.319 7.222
In 2.319 2.319 12.103
```

Output
The density of states at the Fermi level comes out at 6.01 states/eV per cell. The value obtained for the electronic total energy is -3.201 eV per atom.